[1]
The following is a DFT calculation (meta-GGA SCAN) of YMn3Be at its PBEsol-relaxed geometry.

## Properties
M_tot, μB/atom: 1.826
Energy, Ry per atom: -1.26663
Energy of formation from the pure elements, eV per atom: 0.16

a b c (Å): 4.185 4.185 4.185
angles (deg): 90.00 90.00 90.00
Each line ends with the local moment (μB).
Fractional coordinates of all 5 atoms:
Y: 0.500 0.500 0.500  -0.37
Be: 0.000 0.000 0.000  -0.14
Mn: 0.000 0.500 0.000  3.24
Mn: 0.000 0.000 0.500  3.24
Mn: 0.500 0.000 0.000  3.24

=====

[2]
The following is a DFT calculation (meta-GGA SCAN) of Ac2ZnGe at its PBEsol-relaxed geometry.

## Properties
M_tot, μB/atom: 0.001
Energy, Ry per atom: -3.95765
Energy of formation from the pure elements, eV per atom: -0.46

a b c (Å): 5.415 5.415 5.415
angles (deg): 60.00 60.00 60.00
Fractional coordinates of all 4 atoms:
Zn: 0.000 0.000 0.000
Ge: 0.500 0.500 0.500
Ac: 0.750 0.750 0.750
Ac: 0.250 0.250 0.250

=====

[3]
The following is a DFT calculation (meta-GGA SCAN) of Cd4Cu3 at its PBEsol-relaxed geometry.

## Properties
M_tot, μB/atom: 0.000
Energy, Ry per atom: -1.75154
Polymorph energy (0 for the lowest one), kJ/mol of formula units: 8
Energy of formation from the pure elements, eV per atom: 0.06

a b c (Å): 5.005 5.005 5.237
angles (deg): 90.00 90.00 120.00
Fractional coordinates of all 7 atoms:
Cd: 0.000 0.000 0.750
Cd: 0.000 0.000 0.250
Cd: 0.333 0.667 0.500
Cd: 0.667 0.333 0.500
Cu: 0.000 0.500 0.000
Cu: 0.500 0.000 0.000
Cu: 0.500 0.500 0.000

=====

What did the first record say?
The following is a DFT calculation (meta-GGA SCAN) of YMn3Be at its PBEsol-relaxed geometry.

## Properties
M_tot, μB/atom: 1.826
Energy, Ry per atom: -1.26663
Energy of formation from the pure elements, eV per atom: 0.16

a b c (Å): 4.185 4.185 4.185
angles (deg): 90.00 90.00 90.00
Each line ends with the local moment (μB).
Fractional coordinates of all 5 atoms:
Y: 0.500 0.500 0.500  -0.37
Be: 0.000 0.000 0.000  -0.14
Mn: 0.000 0.500 0.000  3.24
Mn: 0.000 0.000 0.500  3.24
Mn: 0.500 0.000 0.000  3.24

=====

- Which formula does entry 3 have?
  Cd4Cu3

=====

- Which value of M_tot does entry 2 give?
  0.001 μB/atom